Record 1
A geometry-optimized BF3 structure, computed with GGA-PBEsol.

Values from the calculation:
- Spin magnetization: 0.09 μB/cell
- Uncorrected formation energy: -2.788 eV per atom
- Electronic total energy: -191.616 eV/cell

Lattice parameters (Å, degrees): 4.6659 13.7686 7.2645 90.00 108.73 90.00
Last column: nearest neighbours and their distance in Å.
Fractional coordinates of all 32 atoms:
B 0.0204 0.1177 0.2732  3 F 1.32-1.33
B 0.0204 0.3823 0.7732  3 F 1.32-1.33
B 0.3603 0.6338 0.7380  3 F 1.32-1.33
B 0.3603 0.8662 0.2380  3 F 1.32-1.33
B 0.6397 0.1338 0.7620  3 F 1.32-1.33
B 0.6397 0.3662 0.2620  3 F 1.32-1.33
B 0.9796 0.6177 0.2268  3 F 1.32-1.33
B 0.9796 0.8823 0.7268  3 F 1.32-1.33
F 0.0360 0.1286 0.0947  1 B 1.33
F 0.0360 0.3714 0.5947  1 B 1.33
F 0.2174 0.5762 0.1996  1 B 1.32
F 0.2174 0.9238 0.6996  1 B 1.32
F 0.2452 0.7176 0.7725  1 B 1.33
F 0.2452 0.7824 0.2725  1 B 1.33
F 0.2473 0.1496 0.4233  1 B 1.33
F 0.2473 0.3504 0.9233  1 B 1.33
F 0.2579 0.5515 0.7886  1 B 1.33
F 0.2579 0.9485 0.2886  1 B 1.33
F 0.4236 0.1329 0.8427  1 B 1.32
F 0.4236 0.3671 0.3427  1 B 1.32
F 0.5764 0.6329 0.6573  1 B 1.32
F 0.5764 0.8671 0.1573  1 B 1.32
F 0.7422 0.0515 0.7114  1 B 1.33
F 0.7422 0.4485 0.2114  1 B 1.33
F 0.7527 0.6496 0.0767  1 B 1.33
F 0.7527 0.8504 0.5767  1 B 1.33
F 0.7548 0.2176 0.7275  1 B 1.33
F 0.7548 0.2824 0.2275  1 B 1.33
F 0.7826 0.0762 0.3004  1 B 1.32
F 0.7826 0.4238 0.8004  1 B 1.32
F 0.9640 0.6286 0.4053  1 B 1.33
F 0.9640 0.8714 0.9053  1 B 1.33

=====

Record 2
A geometry-optimized FeBOF2 structure, computed with GGA-PBEsol.

Values from the calculation:
- Spin magnetization: 4.11 μB/cell
- Uncorrected formation energy: -0.426 eV per atom
- Electronic total energy: -27.215 eV/cell

Lattice parameters (Å, degrees): 3.9408 3.9408 3.6561 90.00 90.00 90.00
Last column: nearest neighbours and their distance in Å.
Fractional coordinates of all 5 atoms:
Fe 0.0000 0.0000 0.0000  2 O 1.83, 4 F 1.97
B 0.5000 0.5000 0.5000  8 F 2.69, 4 O 2.79
O 0.0000 0.0000 0.5000  2 Fe 1.83
F 0.0000 0.5000 0.0000  2 Fe 1.97
F 0.5000 0.0000 0.0000  2 Fe 1.97

=====

Record 3
A geometry-optimized LaGaBF2 structure, computed with GGA-PBEsol.

Values from the calculation:
- Spin magnetization: 0.01 μB/cell
- Uncorrected formation energy: -0.555 eV per atom
- Electronic total energy: -22.332 eV/cell

Lattice parameters (Å, degrees): 3.8502 3.8502 7.4859 90.00 90.00 90.00
Last column: nearest neighbours and their distance in Å.
Fractional coordinates of all 5 atoms:
La 0.0000 0.0000 0.0000  4 B 2.72
Ga 0.0000 0.0000 0.5000  4 F 1.93
B 0.5000 0.5000 0.0000  4 La 2.72
F 0.0000 0.5000 0.5000  2 Ga 1.93
F 0.5000 0.0000 0.5000  2 Ga 1.93

=====

Record 4
A geometry-optimized GaBOF2 structure, computed with GGA-PBEsol.

Values from the calculation:
- Spin magnetization: 0.00 μB/cell
- Uncorrected formation energy: -1.527 eV per atom
- Electronic total energy: -27.095 eV/cell

Lattice parameters (Å, degrees): 4.3704 4.3704 2.6604 90.00 90.00 90.00
Last column: nearest neighbours and their distance in Å.
Fractional coordinates of all 5 atoms:
Ga 0.0000 0.0000 0.0000  8 F 2.56, 2 Ga 2.66
B 0.5000 0.5000 0.5000  2 O 1.33
O 0.5000 0.5000 0.0000  2 B 1.33
F 0.0000 0.5000 0.5000  2 B 2.19
F 0.5000 0.0000 0.5000  2 B 2.19

=====

Record 5
A geometry-optimized Gd3B2O6F3 structure, computed with GGA-PBEsol.

Values from the calculation:
- Spin magnetization: 13.95 μB/cell
- Uncorrected formation energy: -3.379 eV per atom
- Electronic total energy: -283.924 eV/cell

Lattice parameters (Å, degrees): 7.0213 7.0213 8.2674 96.49 96.49 52.02
Last column: nearest neighbours and their distance in Å.
Fractional coordinates of all 28 atoms:
Gd 0.1019 0.8981 0.7500  5 F 2.33-2.58, 4 O 2.34-2.35
Gd 0.2149 0.4290 0.3209  2 F 2.27-2.52, 5 O 2.31-2.52
Gd 0.4290 0.2149 0.8209  2 F 2.27-2.52, 5 O 2.31-2.52
Gd 0.5710 0.7851 0.1791  2 F 2.27-2.52, 5 O 2.31-2.52
Gd 0.7851 0.5710 0.6791  2 F 2.27-2.52, 5 O 2.31-2.52
Gd 0.8981 0.1019 0.2500  5 F 2.33-2.58, 4 O 2.34-2.35
B 0.0892 0.2705 0.0218  3 O 1.38-1.40
B 0.2705 0.0892 0.5218  3 O 1.38-1.40
B 0.7295 0.9108 0.4782  3 O 1.38-1.40
B 0.9108 0.7295 0.9782  3 O 1.38-1.40
O 0.0455 0.2517 0.8559  1 B 1.38
O 0.0820 0.6193 0.8630  1 B 1.38
O 0.2049 0.3179 0.5751  1 B 1.40
O 0.2517 0.0455 0.3559  1 B 1.38
O 0.3179 0.2049 0.0751  1 B 1.40
O 0.3807 0.9180 0.6370  1 B 1.38
O 0.6193 0.0820 0.3630  1 B 1.38
O 0.6821 0.7951 0.9249  1 B 1.40
O 0.7483 0.9545 0.6441  1 B 1.38
O 0.7951 0.6821 0.4249  1 B 1.40
O 0.9180 0.3807 0.1370  1 B 1.38
O 0.9545 0.7483 0.1441  1 B 1.38
F 0.1221 0.7721 0.4604  2 Gd 2.27-2.45, 1 B 2.31
F 0.2279 0.8779 0.0396  2 Gd 2.27-2.45, 1 B 2.31
F 0.4807 0.5193 0.7500  3 Gd 2.33-2.52
F 0.5193 0.4807 0.2500  3 Gd 2.33-2.52
F 0.7721 0.1221 0.9604  2 Gd 2.27-2.45, 1 B 2.31
F 0.8779 0.2279 0.5396  2 Gd 2.27-2.45, 1 B 2.31

=====

Record 6
A geometry-optimized GeBNF2 structure, computed with GGA-PBEsol.

Values from the calculation:
- Spin magnetization: 0.00 μB/cell
- Uncorrected formation energy: 0.113 eV per atom
- Electronic total energy: -23.774 eV/cell

Lattice parameters (Å, degrees): 3.9738 3.9738 3.5293 90.00 90.00 90.00
Last column: nearest neighbours and their distance in Å.
Fractional coordinates of all 5 atoms:
Ge 0.0000 0.0000 0.0000  2 N 1.76
B 0.5000 0.5000 0.5000  8 F 2.66, 4 N 2.81
N 0.0000 0.0000 0.5000  2 Ge 1.76
F 0.0000 0.5000 0.0000  2 Ge 1.99
F 0.5000 0.0000 0.0000  2 Ge 1.99

=====

Record 7
A geometry-optimized GeBN2F structure, computed with GGA-PBEsol.

Values from the calculation:
- Spin magnetization: 0.27 μB/cell
- Uncorrected formation energy: 1.167 eV per atom
- Electronic total energy: -25.100 eV/cell

Lattice parameters (Å, degrees): 3.7524 3.7524 3.7214 90.00 90.00 90.00
Last column: nearest neighbours and their distance in Å.
Fractional coordinates of all 5 atoms:
Ge 0.0000 0.0000 0.0000  2 F 1.86, 4 N 1.88
B 0.5000 0.5000 0.5000  8 N 2.64, 4 F 2.65
N 0.0000 0.5000 0.0000  2 Ge 1.88
N 0.5000 0.0000 0.0000  2 Ge 1.88
F 0.0000 0.0000 0.5000  2 Ge 1.86

=====

Record 8
A geometry-optimized B2HF structure, computed with GGA-PBEsol.

Values from the calculation:
- Spin magnetization: 0.00 μB/cell
- Electronic total energy: -35.017 eV/cell

Lattice parameters (Å, degrees): 6.2595 6.2595 6.2595 149.71 149.71 43.36
Last column: nearest neighbours and their distance in Å.
Fractional coordinates of all 8 atoms:
B 0.0000 0.0000 0.0000  2 B 1.64, 2 H 1.67
B 0.0000 0.0000 0.5000  2 B 1.64, 2 H 1.67
B 0.0000 0.5000 0.0000  2 B 1.64, 2 H 1.67
B 0.5000 0.0000 0.5000  2 B 1.64, 2 H 1.67
H 0.1250 0.8750 0.2500  4 B 1.67
H 0.8750 0.1250 0.7500  4 B 1.67
F 0.3750 0.6250 0.7500  4 H 2.31, 8 B 2.34
F 0.6250 0.3750 0.2500  4 H 2.31, 8 B 2.34

=====

Record 9
A geometry-optimized BH2F structure, computed with GGA-PBEsol.

Values from the calculation:
- Spin magnetization: 0.00 μB/cell
- Electronic total energy: -30.665 eV/cell

Lattice parameters (Å, degrees): 3.9776 3.9776 3.9776 119.98 119.98 90.04
Last column: nearest neighbours and their distance in Å.
Fractional coordinates of all 8 atoms:
B 0.0000 0.0000 0.0000  4 H 1.32
B 0.7500 0.2500 0.5000  4 H 1.32
H 0.0033 0.1250 0.3783  2 B 1.32
H 0.3750 0.9967 0.1217  2 B 1.32
H 0.7467 0.6250 0.6217  2 B 1.32
H 0.8750 0.2533 0.8783  2 B 1.32
F 0.2500 0.7500 0.5000  4 H 1.92
F 0.5000 0.5000 0.0000  4 H 1.92

=====

Record 10
A geometry-optimized Zn8B4H3O15F structure, computed with GGA-PBEsol.

Values from the calculation:
- Spin magnetization: 0.00 μB/cell
- Electronic total energy: -371.084 eV/cell

Lattice parameters (Å, degrees): 6.8873 4.9362 22.6843 90.00 98.28 90.00
Last column: nearest neighbours and their distance in Å.
Fractional coordinates of all 62 atoms:
Zn 0.1186 0.0000 0.3567  4 O 1.94-1.99
Zn 0.1217 0.0054 0.1056  4 O 1.94-2.00
Zn 0.1289 0.0045 0.8580  4 O 1.94-2.00
Zn 0.1360 0.0046 0.6134  1 F 1.91, 3 O 1.93-1.97
Zn 0.3457 0.9876 0.2345  4 O 1.94-1.96
Zn 0.3528 0.9866 0.9865  4 O 1.94-1.97
Zn 0.3601 0.9891 0.7403  4 O 1.94-1.96
Zn 0.3661 0.9869 0.4849  3 O 1.92-1.94, 1 F 1.93
Zn 0.6339 0.4869 0.5151  3 O 1.92-1.94, 1 F 1.93
Zn 0.6399 0.4891 0.2597  4 O 1.94-1.96
Zn 0.6472 0.4866 0.0135  4 O 1.94-1.97
Zn 0.6543 0.4876 0.7655  4 O 1.94-1.96
Zn 0.8640 0.5046 0.3866  1 F 1.91, 3 O 1.93-1.97
Zn 0.8711 0.5045 0.1420  4 O 1.94-2.00
Zn 0.8783 0.5054 0.8944  4 O 1.94-2.00
Zn 0.8814 0.5000 0.6433  4 O 1.94-1.99
B 0.2788 0.4853 0.4198  3 O 1.38
B 0.2855 0.4917 0.1665  3 O 1.38
B 0.2939 0.4902 0.9191  3 O 1.38
B 0.2993 0.4934 0.6728  3 O 1.38
B 0.7007 0.9934 0.3272  3 O 1.38
B 0.7061 0.9902 0.0809  3 O 1.38
B 0.7145 0.9917 0.8335  3 O 1.38
B 0.7212 0.9853 0.5802  3 O 1.38
H 0.0284 0.1625 0.2545  1 O 1.00
H 0.0324 0.1691 0.0039  1 O 1.00
H 0.0371 0.1672 0.7558  1 O 1.00
H 0.9629 0.6672 0.2442  1 O 1.00
H 0.9676 0.6691 0.9961  1 O 1.00
H 0.9716 0.6625 0.7455  1 O 1.00
O 0.1025 0.9974 0.2697  1 H 1.00
O 0.1047 0.0024 0.0192  1 H 1.00
O 0.1094 0.0012 0.7715  1 H 1.00
O 0.1355 0.6233 0.3829  1 B 1.38
O 0.1390 0.6266 0.1302  1 B 1.38
O 0.1473 0.6261 0.8830  1 B 1.38
O 0.1517 0.6274 0.6369  1 B 1.38
O 0.2928 0.2072 0.4144  1 B 1.38
O 0.2988 0.2131 0.1624  1 B 1.38
O 0.3083 0.2120 0.9144  1 B 1.38
O 0.3151 0.2157 0.6685  1 B 1.38
O 0.4067 0.6180 0.4625  1 B 1.38
O 0.4137 0.6295 0.2082  1 B 1.38
O 0.4209 0.6265 0.9615  1 B 1.38
O 0.4278 0.6312 0.7145  1 B 1.38
O 0.5722 0.1312 0.2855  1 B 1.38
O 0.5791 0.1265 0.0385  1 B 1.38
O 0.5863 0.1295 0.7918  1 B 1.38
O 0.5933 0.1180 0.5375  1 B 1.38
O 0.6849 0.7157 0.3315  1 B 1.38
O 0.6917 0.7120 0.0856  1 B 1.38
O 0.7012 0.7131 0.8376  1 B 1.38
O 0.7072 0.7072 0.5856  1 B 1.38
O 0.8483 0.1274 0.3631  1 B 1.38
O 0.8527 0.1261 0.1170  1 B 1.38
O 0.8610 0.1266 0.8698  1 B 1.38
O 0.8645 0.1233 0.6171  1 B 1.38
O 0.8906 0.5012 0.2285  1 H 1.00
O 0.8953 0.5024 0.9808  1 H 1.00
O 0.8975 0.4974 0.7303  1 H 1.00
F 0.1526 0.0319 0.5303  2 Zn 1.91-1.93
F 0.8474 0.5319 0.4697  2 Zn 1.91-1.93

=====

Record 11
A geometry-optimized Zn8B4H3O15F structure, computed with GGA-PBEsol.

Values from the calculation:
- Spin magnetization: 0.00 μB/cell
- Electronic total energy: -185.490 eV/cell

Lattice parameters (Å, degrees): 4.9427 8.2800 9.6137 78.25 89.93 89.90
Last column: nearest neighbours and their distance in Å.
Fractional coordinates of all 31 atoms:
Zn 0.0000 0.0000 0.0000  4 O 1.91-1.98
Zn 0.0017 0.4991 0.5068  4 O 1.94-1.96
Zn 0.4870 0.9244 0.5515  4 O 1.94-1.99
Zn 0.4894 0.4360 0.0485  3 O 1.92-1.96, 1 F 1.96
Zn 0.5012 0.8039 0.9044  4 O 1.94-1.97
Zn 0.5069 0.3020 0.4222  3 O 1.92-1.93, 1 F 1.97
Zn 0.9814 0.8712 0.3576  4 O 1.90-2.00
Zn 0.9854 0.3712 0.8594  4 O 1.93-1.99
B 0.0011 0.1316 0.5126  3 O 1.38
B 0.0007 0.6363 0.0070  3 O 1.37-1.38
B 0.4954 0.6649 0.4021  3 O 1.38
B 0.4976 0.1666 0.9014  3 O 1.38
H 0.3214 0.6769 0.7124  1 O 1.00
H 0.8014 0.1166 0.1967  1 O 0.99
H 0.8292 0.6228 0.7007  1 O 1.00
O 0.2781 0.6347 0.0272  1 B 1.38
O 0.2801 0.1276 0.5236  1 B 1.38
O 0.3574 0.8095 0.4014  1 B 1.38
O 0.3587 0.5166 0.4207  1 B 1.38
O 0.3602 0.0194 0.9163  1 B 1.38
O 0.3596 0.3095 0.9103  1 B 1.38
O 0.4870 0.7441 0.7174  1 H 1.00
O 0.7740 0.1714 0.8809  1 B 1.38
O 0.7735 0.6667 0.3903  1 B 1.38
O 0.8630 0.9880 0.5105  1 B 1.38
O 0.8654 0.7845 0.9806  1 B 1.37
O 0.8670 0.4899 0.0088  1 B 1.38
O 0.8675 0.2803 0.5003  1 B 1.38
O 0.9435 0.0354 0.1885  1 H 0.99
O 0.9933 0.5544 0.6954  1 H 1.00
F 0.5394 0.2713 0.2246  1 H 1.88, 2 Zn 1.96-1.97

=====

Record 12
A geometry-optimized HfBN2F structure, computed with GGA-PBEsol.

Values from the calculation:
- Spin magnetization: 1.30 μB/cell
- Uncorrected formation energy: 0.286 eV per atom
- Electronic total energy: -35.072 eV/cell

Lattice parameters (Å, degrees): 4.1485 4.1485 4.0274 90.00 90.00 90.00
Last column: nearest neighbours and their distance in Å.
Fractional coordinates of all 5 atoms:
Hf 0.0000 0.0000 0.0000  2 F 2.01, 4 N 2.07
B 0.5000 0.5000 0.5000  8 N 2.89, 4 F 2.93
N 0.0000 0.5000 0.0000  2 Hf 2.07
N 0.5000 0.0000 0.0000  2 Hf 2.07
F 0.0000 0.0000 0.5000  2 Hf 2.01